No. 1
! ZrAl2TeF (PBE, relaxed); values from VASP
&SYSTEM
  ibrav = 0, nat = 5, ntyp = 4
/
ATOMIC_SPECIES
Al 26.98 Al.upf
F 19.00 F.upf
Te 127.60 Te.upf
Zr 91.22 Zr.upf
ATOMIC_POSITIONS angstrom
Al -0.312 1.232 -1.682
Al -2.033 -0.558 -0.031
F 0.000 0.000 0.000
Te 0.601 -2.100 -1.650
Zr -1.744 -1.425 -3.363
CELL_PARAMETERS angstrom
-0.625 2.465 -3.364
1.203 -4.199 -3.301
-4.066 -1.115 -0.062
! E_form (uncorrected) in meV/atom: -435
! Total energy in eV/cell: -23.2
! Space-group type: No. 123


No. 2
! CeCdSi (PBE, relaxed); values from VASP
&SYSTEM
  ibrav = 0, nat = 3, ntyp = 3
/
ATOMIC_SPECIES
Cd 112.41 Cd.upf
Si 28.09 Si.upf
Ce 140.12 Ce.upf
ATOMIC_POSITIONS angstrom
Cd 0.000 0.000 0.000
Si -2.099 1.912 0.627
Ce -4.198 3.824 1.254
CELL_PARAMETERS angstrom
-1.604 4.397 -0.799
-4.672 0.827 -0.182
-2.120 2.424 3.489
! E_form (uncorrected) in meV/atom: -226
! Total energy in eV/cell: -13.0
! Space-group type: No. 216


No. 3
! ZrGeSe3 (PBE, relaxed); values from VASP
&SYSTEM
  ibrav = 0, nat = 5, ntyp = 3
/
ATOMIC_SPECIES
Se 78.96 Se.upf
Ge 72.64 Ge.upf
Zr 91.22 Zr.upf
ATOMIC_POSITIONS angstrom
Se 0.000 0.000 2.604
Se 0.000 2.604 0.000
Se 2.604 0.000 0.000
Ge 2.604 2.604 2.604
Zr 0.000 0.000 0.000
CELL_PARAMETERS angstrom
5.209 0.000 0.000
0.000 5.209 0.000
0.000 0.000 5.209
! E_form (uncorrected) in meV/atom: -261
! Total energy in eV/cell: -24.9
! Offset from the most stable computed form in meV/atom: 644
! Space-group type: No. 221


Number 1 is which compound? ZrAl2TeF